Compound: KAgI2Br
Source: Alexandria
Functional: PBE
Structure: optimized geometry

Values from the calculation:
Raw formation energy ... -0.684 eV per atom
DFT total energy ... -2.429 eV per atom
Space group ... No. 123
D(E_F) ... 1.6 states/eV/cell

Cell: 5.775 5.775 5.487 Å, 90.00 90.00 90.00°
Fractional coordinates of all 5 atoms:
I 0.500 0.000 0.000
I 0.000 0.500 0.000
Br 0.000 0.000 0.500
Ag 0.000 0.000 0.000
K 0.500 0.500 0.500

Compound: NaBe3As3
Source: Alexandria
Functional: PBE
Structure: optimized geometry

Values from the calculation:
DFT total energy ... -3.760 eV per atom
Space group ... No. 176
ΔH_f (0 K) ... 18 meV/atom
D(E_F) ... 3.6 states/eV/cell

Cell: 3.909 8.446 8.446 Å, 120.00 90.00 90.00°
Fractional coordinates of all 14 atoms:
Be 0.250 0.031 0.178
Be 0.750 0.853 0.031
Be 0.250 0.147 0.969
Be 0.250 0.822 0.853
Be 0.750 0.178 0.147
Be 0.750 0.969 0.822
As 0.250 0.709 0.056
As 0.750 0.056 0.348
As 0.250 0.944 0.652
As 0.750 0.652 0.709
As 0.250 0.348 0.291
As 0.750 0.291 0.944
Na 0.750 0.667 0.333
Na 0.250 0.333 0.667

Compound: LiBe2Ag
Source: Alexandria
Functional: PBE
Structure: optimized geometry

Values from the calculation:
DFT total energy ... -2.926 eV per atom
Space group ... No. 71
ΔH_f (0 K) ... 128 meV/atom
D(E_F) ... 0.2 states/eV/cell

Cell: 4.289 4.289 3.623 Å, 65.04 65.04 52.36°
Fractional coordinates of all 4 atoms:
Li 0.750 0.750 0.750
Be 0.501 0.501 0.499
Be 0.999 0.999 0.001
Ag 0.250 0.250 0.250

Compound: Pm2Ho5Tm12
Source: Alexandria
Functional: PBE
Structure: optimized geometry

Values from the calculation:
DFT total energy ... -4.504 eV per atom
Space group ... No. 2
ΔH_f (0 K) ... 25 meV/atom
D(E_F) ... 26.2 states/eV/cell

Cell: 6.086 10.537 12.653 Å, 133.81 94.74 84.39°
Fractional coordinates of all 19 atoms:
Tm 0.474 0.052 0.395
Tm 0.790 0.420 0.658
Tm 0.684 0.632 0.237
Tm 0.316 0.368 0.763
Tm 0.895 0.212 0.079
Tm 0.368 0.265 0.974
Tm 0.526 0.948 0.605
Tm 0.210 0.580 0.342
Tm 0.947 0.105 0.290
Tm 0.632 0.735 0.026
Tm 0.105 0.788 0.921
Tm 0.053 0.895 0.710
Ho 0.738 0.527 0.447
Ho 0.158 0.684 0.132
Ho 0.000 0.000 0.500
Ho 0.842 0.316 0.868
Ho 0.262 0.473 0.553
Pm 0.421 0.158 0.185
Pm 0.579 0.842 0.815

Compound: Be2PF
Source: Alexandria
Functional: PBE
Structure: optimized geometry

Values from the calculation:
Raw formation energy ... -0.361 eV per atom
DFT total energy ... -4.044 eV per atom
Space group ... No. 225
D(E_F) ... 0.0 states/eV/cell

Cell: 3.909 3.909 3.909 Å, 60.00 60.00 60.00°
Fractional coordinates of all 4 atoms:
F 0.000 0.000 0.000
Be 0.750 0.750 0.750
Be 0.250 0.250 0.250
P 0.500 0.500 0.500

Compound: Er2PuAu3
Source: Alexandria
Functional: PBE
Structure: optimized geometry

Values from the calculation:
DFT total energy ... -6.277 eV per atom
Space group ... No. 123
ΔH_f (0 K) ... -728 meV/atom
D(E_F) ... 10.9 states/eV/cell

Cell: 3.557 3.557 10.970 Å, 90.00 90.00 90.00°
Last column: magnetic moment on the atom in μB.
Fractional coordinates of all 6 atoms:
Au 0.000 0.000 0.684  0.00
Au 0.000 0.000 0.316  0.00
Au 0.000 0.000 0.000  0.00
Er 0.500 0.500 0.164  0.01
Er 0.500 0.500 0.836  0.01
Pu 0.500 0.500 0.500  -5.41

Compound: Y2BeFe
Source: Alexandria
Functional: PBE
Structure: optimized geometry

Values from the calculation:
DFT total energy ... -6.133 eV per atom
Space group ... No. 47
ΔH_f (0 K) ... 146 meV/atom
D(E_F) ... 6.4 states/eV/cell

Cell: 3.445 3.434 7.574 Å, 63.00 90.00 90.00°
Last column: magnetic moment on the atom in μB.
Fractional coordinates of all 4 atoms:
Y 0.000 0.003 0.997  -0.19
Y 0.000 0.497 0.503  -0.19
Be 0.500 0.250 0.250  0.00
Fe 0.500 0.750 0.750  1.99

Compound: InFeP2
Source: Alexandria
Functional: PBE
Structure: optimized geometry

Values from the calculation:
DFT total energy ... -5.527 eV per atom
Space group ... No. 12
ΔH_f (0 K) ... -22 meV/atom
D(E_F) ... 2.7 states/eV/cell

Cell: 3.775 3.775 6.584 Å, 77.10 77.10 50.34°
Last column: magnetic moment on the atom in μB.
Fractional coordinates of all 4 atoms:
P 0.018 0.018 0.895  0.00
P 0.482 0.482 0.605  0.00
In 0.250 0.250 0.250  0.00
Fe 0.750 0.750 0.750  1.06

Compound: AcDyAl3
Source: Alexandria
Functional: PBE
Structure: optimized geometry

Values from the calculation:
DFT total energy ... -4.361 eV per atom
Space group ... No. 63
ΔH_f (0 K) ... -373 meV/atom
D(E_F) ... 7.9 states/eV/cell

Cell: 4.411 4.553 13.590 Å, 99.64 90.00 90.00°
Fractional coordinates of all 10 atoms:
Dy 0.250 0.795 0.590
Dy 0.750 0.205 0.410
Ac 0.250 0.076 0.151
Ac 0.750 0.924 0.849
Al 0.250 0.376 0.752
Al 0.750 0.525 0.050
Al 0.250 0.678 0.357
Al 0.750 0.322 0.643
Al 0.750 0.624 0.248
Al 0.250 0.475 0.950

Compound: SbRhC2O
Source: Alexandria
Functional: PBE
Structure: optimized geometry

Values from the calculation:
Raw formation energy ... 2.762 eV per atom
DFT total energy ... -4.214 eV per atom
Space group ... No. 123
D(E_F) ... 7.4 states/eV/cell

Cell: 4.128 5.134 4.128 Å, 90.00 90.00 90.00°
Last column: magnetic moment on the atom in μB.
Fractional coordinates of all 5 atoms:
O 0.500 0.500 0.500  -0.08
C 0.500 0.000 0.000  0.01
C 0.000 0.000 0.500  0.00
Rh 0.000 0.500 0.000  0.54
Sb 0.000 0.000 0.000  -0.01

Compound: Hf2MnTc3
Source: Alexandria
Functional: PBE
Structure: optimized geometry

Values from the calculation:
DFT total energy ... -10.358 eV per atom
Space group ... No. 166
ΔH_f (0 K) ... -329 meV/atom
D(E_F) ... 6.1 states/eV/cell

Cell: 5.181 5.181 5.220 Å, 89.98 119.81 119.97°
Last column: magnetic moment on the atom in μB.
Fractional coordinates of all 6 atoms:
Mn 0.000 0.000 0.000  2.44
Hf 0.247 0.624 0.871  -0.11
Hf 0.753 0.376 0.129  -0.11
Tc 0.000 0.000 0.500  0.15
Tc 0.500 0.500 0.500  0.15
Tc 0.500 0.000 0.500  0.15

Compound: Li3Tl5Cl12
Source: Alexandria
Functional: PBE
Structure: optimized geometry

Values from the calculation:
Raw formation energy ... -0.902 eV per atom
DFT total energy ... -2.889 eV per atom
Space group ... No. 230
D(E_F) ... 55.2 states/eV/cell

Cell: 15.021 15.021 15.021 Å, 109.47 109.47 109.47°
Fractional coordinates of all 80 atoms:
Cl 0.767 0.315 0.907
Cl 0.092 0.907 0.139
Cl 0.861 0.593 0.908
Cl 0.861 0.267 0.453
Cl 0.047 0.639 0.733
Cl 0.139 0.733 0.547
Cl 0.592 0.639 0.407
Cl 0.408 0.047 0.315
Cl 0.453 0.767 0.861
Cl 0.815 0.908 0.047
Cl 0.733 0.593 0.185
Cl 0.139 0.407 0.092
Cl 0.453 0.685 0.092
Cl 0.093 0.185 0.233
Cl 0.092 0.185 0.453
Cl 0.547 0.315 0.908
Cl 0.547 0.233 0.139
Cl 0.639 0.592 0.907
Cl 0.907 0.092 0.639
Cl 0.361 0.953 0.767
Cl 0.593 0.733 0.685
Cl 0.815 0.907 0.267
Cl 0.408 0.361 0.593
Cl 0.908 0.093 0.861
Cl 0.733 0.139 0.047
Cl 0.233 0.547 0.639
Cl 0.267 0.407 0.815
Cl 0.267 0.861 0.953
Cl 0.407 0.267 0.315
Cl 0.361 0.408 0.093
Cl 0.407 0.139 0.592
Cl 0.953 0.592 0.185
Cl 0.639 0.047 0.233
Cl 0.953 0.361 0.267
Cl 0.315 0.547 0.408
Cl 0.908 0.815 0.547
Cl 0.185 0.093 0.733
Cl 0.315 0.767 0.407
Cl 0.047 0.408 0.815
Cl 0.685 0.453 0.592
Cl 0.093 0.908 0.361
Cl 0.593 0.861 0.408
Cl 0.185 0.092 0.953
Cl 0.592 0.953 0.685
Cl 0.907 0.815 0.767
Cl 0.767 0.453 0.361
Cl 0.233 0.685 0.093
Cl 0.685 0.233 0.593
Li 0.625 0.250 0.375
Li 0.750 0.875 0.625
Li 0.125 0.875 0.750
Li 0.875 0.750 0.125
Li 0.375 0.625 0.250
Li 0.375 0.750 0.625
Li 0.125 0.250 0.875
Li 0.750 0.375 0.125
Li 0.250 0.125 0.375
Li 0.875 0.125 0.250
Li 0.250 0.625 0.875
Li 0.625 0.375 0.750
Tl 0.375 0.250 0.125
Tl 0.125 0.750 0.375
Tl 0.875 0.250 0.625
Tl 0.750 0.625 0.375
Tl 0.250 0.375 0.625
Tl 0.000 0.500 0.500
Tl 0.500 0.500 0.500
Tl 0.250 0.875 0.125
Tl 0.750 0.125 0.875
Tl 0.625 0.875 0.250
Tl 0.500 0.000 0.500
Tl 0.500 0.500 0.000
Tl 0.000 0.000 0.500
Tl 0.000 0.000 0.000
Tl 0.625 0.750 0.875
Tl 0.000 0.500 0.000
Tl 0.875 0.625 0.750
Tl 0.500 0.000 0.000
Tl 0.125 0.375 0.250
Tl 0.375 0.125 0.750